! GGA+U HfCrGaO6, relaxed; values from VASP
! Total energy: -7.65 eV per atom
! DOS at the Fermi energy: 0.1059 states/eV/atom
! Space-group type: P4_2nm, No. 102
&SYSTEM
  ibrav = 0, nat = 18, ntyp = 4
/
ATOMIC_SPECIES
Hf 178.49 Hf.upf
Cr 52.00 Cr.upf
Ga 69.72 Ga.upf
O 16.00 O.upf
ATOMIC_POSITIONS crystal
Hf 0.000 0.000 0.000
Hf 0.500 0.500 0.500
Cr 0.000 0.000 0.331
Cr 0.500 0.500 0.831
Ga 0.000 0.000 0.662
Ga 0.500 0.500 0.162
O 0.186 0.186 0.489
O 0.198 0.198 0.173
O 0.214 0.214 0.826
O 0.286 0.714 0.326
O 0.302 0.698 0.673
O 0.314 0.686 0.989
O 0.686 0.314 0.989
O 0.698 0.302 0.673
O 0.714 0.286 0.326
O 0.786 0.786 0.826
O 0.802 0.802 0.173
O 0.814 0.814 0.489
CELL_PARAMETERS angstrom
4.639 0.000 0.000
0.000 4.639 0.000
0.000 0.000 9.172